Density functional theory data (PBE+U) for a geometry-optimized Y2AlCoO6 structure.

Properties
For the total energy, the calculation gives -7.917 eV per atom. The volume is 10.52 Å³ per atom.

Unit cell a=5.2191 b=5.4179 c=7.4438 alpha=90.00 beta=89.65 gamma=90.00
With the nearest neighbours (Å) after each atom.
Atoms (fractional coordinates):
O (0.6994, 0.2938, 0.5478)  1 Al 1.94, 1 Co 1.96
Y (0.4851, 0.4389, 0.2497)  6 O 2.26-2.47
O (0.7967, 0.7986, 0.5467)  1 Al 1.93, 1 Co 1.96
O (0.1994, 0.2062, 0.0478)  1 Al 1.94, 1 Co 1.96
O (0.4092, 0.9756, 0.7476)  1 Al 1.91, 1 Co 1.94
Y (0.9851, 0.0611, 0.7497)  6 O 2.26-2.47
O (0.5908, 0.0244, 0.2524)  1 Al 1.91, 1 Co 1.94
O (0.9092, 0.5244, 0.2476)  1 Al 1.91, 1 Co 1.94
O (0.8006, 0.7938, 0.9522)  1 Al 1.94, 1 Co 1.96
O (0.7033, 0.2986, 0.9533)  1 Al 1.93, 1 Co 1.96
Co (0.5000, 0.0000, 0.0000)  6 O 1.94-1.96
Al (0.5000, 0.0000, 0.5000)  6 O 1.91-1.94
O (0.3006, 0.7062, 0.4522)  1 Al 1.94, 1 Co 1.96
Y (0.0149, 0.9389, 0.2503)  6 O 2.26-2.47
O (0.0908, 0.4756, 0.7524)  1 Al 1.91, 1 Co 1.94
O (0.2967, 0.7014, 0.0467)  1 Al 1.93, 1 Co 1.96
Co (0.0000, 0.5000, 0.5000)  6 O 1.94-1.96
Al (0.0000, 0.5000, 0.0000)  6 O 1.91-1.94
O (0.2033, 0.2014, 0.4533)  1 Al 1.93, 1 Co 1.96
Y (0.5149, 0.5611, 0.7503)  6 O 2.26-2.47